VASP calculation (SCAN) on a PBEsol-optimized structure of MgSbI3.

abc: 5.5120 5.5120 5.5120
angles: 90.00 90.00 90.00
Space group Pm-3m (No. 221)
Unique sites:
Mg: 0.0000 0.0000 0.0000
Sb: 0.5000 0.5000 0.5000
I: 0.0000 0.0000 0.5000

Density of states at the Fermi level, states/eV/f.u.: 2.41
Formation energy without anion corrections, eV/atom: -0.122
Magnetization, Bohr magnetons per cell: 0.000